An optimized crystal structure of ZrNiSn. Source: Alexandria, functional PBE-GGA.

Output
Energy of formation, meV per atom: -358

Unit cell a=4.397 b=7.139 c=7.139 alpha=29.91 beta=90.00 gamma=90.00
Atoms (fractional coordinates):
Zr (0.000, 0.000, 0.000)
Zr (0.000, 0.305, 0.305)
Ni (0.000, 0.635, 0.635)
Ni (0.500, 0.500, 0.500)
Sn (0.500, 0.150, 0.150)
Sn (0.500, 0.854, 0.854)


An optimized crystal structure of DyYPdAu. Source: Alexandria, functional PBE-GGA.

Output
Energy above the lowest structure with this stoichiometry, eV/atom: 0.000
Energy of formation, meV per atom: -906

Unit cell a=4.662 b=5.662 c=5.662 alpha=38.72 beta=90.00 gamma=90.00
Atoms (fractional coordinates):
Dy (0.000, 0.000, 0.000)
Y (0.500, 0.276, 0.276)
Pd (0.500, 0.550, 0.550)
Au (0.000, 0.722, 0.722)